# 1
ZrMnHgB2 | PBE-GGA | relaxed

The calculation puts the formation energy at 2.042 eV/atom. The total magnetization comes out at 0.02 μB/atom. As for the density of states at the Fermi level: 4.908 states/eV/cell.

Cell: 4.3303 4.3303 5.4766 Å, 90.00 90.00 90.00°
Closest atoms and distances in Å follow each position.
Space group P4/mmm (No. 123)
Asymmetric unit:
Zr1 0.0000 0.0000 0.0000  4 B 2.17
Mn1 0.5000 0.5000 0.5000  4 Hg 3.06
Hg1 0.0000 0.0000 0.5000  2 Zr 2.74, 4 Mn 3.06
B1 0.0000 0.5000 0.0000  2 Zr 2.17

# 2
HgB2Mo | PBE-GGA | relaxed

The calculation puts the formation energy at 1.051 eV/atom. The total magnetization comes out at 0.00 μB/atom. As for the density of states at the Fermi level: 6.195 states/eV/cell.

Cell: 5.7244 5.7244 7.2480 Å, 90.00 90.00 90.00°
Closest atoms and distances in Å follow each position.
Space group I-42d (No. 122)
Asymmetric unit:
Hg1 0.0000 0.0000 0.0000  4 B 2.32
B1 0.2225 0.2500 0.6250  2 Mo 2.12, 2 Hg 2.32
Mo1 0.0000 0.0000 0.5000  4 B 2.12

# 3
HgBMo3 | PBE-GGA | relaxed

The energy above the most stable polymorph in this dataset comes out at 3131 meV per atom. The calculation puts the formation energy at 3.485 eV/atom. The total magnetization comes out at 0.50 μB/atom. As for the density of states at the Fermi level: 7.827 states/eV/cell.

Cell: 4.9345 4.9345 4.9345 Å, 90.00 90.00 90.00°
Closest atoms and distances in Å follow each position.
Space group Pm-3m (No. 221)
Asymmetric unit:
Hg1 0.0000 0.0000 0.0000  6 Mo 2.47
B1 0.5000 0.5000 0.5000  12 Mo 3.49
Mo1 0.0000 0.0000 0.5000  2 Hg 2.47

# 4
HgBMo3 | PBE-GGA | relaxed

The energy above the most stable polymorph in this dataset comes out at 0 meV per atom. The calculation puts the formation energy at 0.354 eV/atom. The total magnetization comes out at 0.00 μB/atom. As for the density of states at the Fermi level: 6.869 states/eV/cell.

Cell: 4.2544 4.2544 4.2544 Å, 90.00 90.00 90.00°
Closest atoms and distances in Å follow each position.
Space group Pm-3m (No. 221)
Asymmetric unit:
Hg1 0.0000 0.0000 0.0000  12 Mo 3.01
B1 0.5000 0.5000 0.5000  6 Mo 2.13
Mo1 0.0000 0.5000 0.5000  2 B 2.13